Record 1
The following is a PBE-GGA calculation of a geometry-optimized Np3TiPt12 structure, from the Alexandria database.

Values from the calculation:
- Electronic total energy: -8.101 eV/atom
- DOS at the Fermi energy: 2.2700 states/eV/atom
- Formation energy: -62.7 kJ/mol of atoms
- Crystal system: tetragonal

Cell: 4.0969 4.0969 16.5074 Å, 90.00 90.00 90.00°
Sites, in units of the cell vectors:
1 Np 0.0000 0.0000 0.7563
2 Np 0.0000 0.0000 0.5000
3 Np 0.0000 0.0000 0.2437
4 Pt 0.0000 0.5000 0.1134
5 Pt 0.0000 0.5000 0.3716
6 Pt 0.5000 0.0000 0.6284
7 Pt 0.5000 0.5000 0.5000
8 Pt 0.5000 0.0000 0.3716
9 Pt 0.0000 0.5000 0.6284
10 Pt 0.5000 0.5000 0.2418
11 Pt 0.5000 0.0000 0.1134
12 Pt 0.5000 0.5000 0.0000
13 Pt 0.5000 0.5000 0.7582
14 Pt 0.5000 0.0000 0.8866
15 Pt 0.0000 0.5000 0.8866
16 Ti 0.0000 0.0000 0.0000

Record 2
The following is a PBE-GGA calculation of a geometry-optimized Na2ZnAgO4 structure, from the Alexandria database.

Values from the calculation:
- Electronic total energy: -4.198 eV/atom
- Formation energy without anion corrections: -0.874 eV per atom
- DOS at the Fermi energy: 0.3245 states/eV/atom
- Crystal system: monoclinic

Cell: 3.2284 5.4619 5.6609 Å, 108.19 90.00 90.00°
Sites, in units of the cell vectors:
1 Na 0.5000 0.0000 0.5000
2 Na 0.0000 0.5000 0.5000
3 Zn 0.0000 0.0000 0.0000
4 O 0.5000 0.7555 0.7972
5 O 0.0000 0.7404 0.2161
6 O 0.5000 0.2445 0.2028
7 O 0.0000 0.2596 0.7839
8 Ag 0.5000 0.5000 0.0000

Record 3
The following is a PBE-GGA calculation of a geometry-optimized RbBe2F5 structure, from the Alexandria database.

Values from the calculation:
- Electronic total energy: -5.380 eV/atom
- Formation energy without anion corrections: -3.158 eV per atom
- DOS at the Fermi energy: 0.0000 states/eV/atom
- Energy above the lowest structure with this stoichiometry: 53 meV/atom
- Crystal system: triclinic

Cell: 4.7664 7.0044 4.6887 Å, 106.59 119.91 67.67°
Sites, in units of the cell vectors:
1 F 0.0731 0.5381 0.4943
2 F 0.0979 0.1629 0.5515
3 F 0.5850 0.4394 0.1934
4 F 0.5591 0.8154 0.1394
5 F 0.8281 0.4903 0.8438
6 Be 0.7401 0.5885 0.1431
7 Be 0.9173 0.3897 0.5455
8 Rb 0.8285 0.9888 0.8451

Record 4
The following is a PBE-GGA calculation of a geometry-optimized ZnTe2PI structure, from the Alexandria database.

Values from the calculation:
- Electronic total energy: -2.410 eV/atom
- Formation energy without anion corrections: 0.494 eV per atom
- DOS at the Fermi energy: 1.0845 states/eV/atom
- Energy above the lowest structure with this stoichiometry: 0 meV/atom
- Crystal system: tetragonal

Cell: 5.3617 5.3617 5.3517 Å, 90.00 90.00 90.00°
Sites, in units of the cell vectors:
1 I 0.0000 0.0000 0.5000
2 Te 0.5000 0.0000 0.0000
3 Te 0.0000 0.5000 0.0000
4 P 0.0000 0.0000 0.0000
5 Zn 0.5000 0.5000 0.5000

Record 5
The following is a PBE-GGA calculation of a geometry-optimized Ac2LaSm structure, from the Alexandria database.

Values from the calculation:
- Electronic total energy: -4.371 eV/atom
- DOS at the Fermi energy: 1.7032 states/eV/atom
- Formation energy: 9.1 kJ/mol of atoms
- Energy above the lowest structure with this stoichiometry: 71 meV/atom
- Crystal system: monoclinic

Cell: 13.0833 13.0833 13.6007 Å, 90.05 90.05 146.23°
Sites, in units of the cell vectors:
1 La 0.3894 0.1165 0.6198
2 La 0.1165 0.3894 0.1198
3 La 0.8866 0.1131 0.6158
4 La 0.1134 0.8869 0.3842
5 La 0.8835 0.6106 0.8802
6 La 0.1131 0.8866 0.1158
7 La 0.6106 0.8835 0.3802
8 La 0.8869 0.1134 0.8842
9 Ac 0.0220 0.4796 0.7492
10 Ac 0.2501 0.7492 0.0001
11 Ac 0.0232 0.9768 0.7500
12 Ac 0.2508 0.7499 0.4999
13 Ac 0.7492 0.7504 0.9997
14 Ac 0.4806 0.5194 0.2500
15 Ac 0.2496 0.2508 0.5003
16 Ac 0.7504 0.7492 0.4997
17 Ac 0.7499 0.2508 0.9999
18 Ac 0.9780 0.5204 0.2508
19 Ac 0.5194 0.4806 0.7500
20 Ac 0.7492 0.2501 0.5001
21 Ac 0.5204 0.9780 0.7508
22 Ac 0.4796 0.0220 0.2492
23 Ac 0.9768 0.0232 0.2500
24 Ac 0.2508 0.2496 0.0003
25 Sm 0.6144 0.3843 0.3853
26 Sm 0.8855 0.6152 0.6102
27 Sm 0.3849 0.1145 0.8898
28 Sm 0.6152 0.8855 0.1102
29 Sm 0.3856 0.6157 0.6147
30 Sm 0.6157 0.3856 0.1147
31 Sm 0.3843 0.6144 0.8853
32 Sm 0.1145 0.3849 0.3898

Record 6
The following is a PBE-GGA calculation of a geometry-optimized LiCd5Hg2 structure, from the Alexandria database.

Values from the calculation:
- Electronic total energy: -0.970 eV/atom
- DOS at the Fermi energy: 0.3803 states/eV/atom
- Formation energy: -8.0 kJ/mol of atoms
- Energy above the lowest structure with this stoichiometry: 0 meV/atom
- Crystal system: orthorhombic

Cell: 4.3315 6.1933 13.0991 Å, 90.00 90.00 90.00°
Sites, in units of the cell vectors:
1 Cd 0.0000 0.0000 0.0000
2 Cd 0.0000 0.9900 0.7527
3 Cd 0.5000 0.7447 0.6249
4 Cd 0.0000 0.5000 0.5000
5 Cd 0.0000 0.5100 0.2527
6 Cd 0.0000 0.4900 0.7473
7 Cd 0.5000 0.2447 0.8751
8 Cd 0.5000 0.2553 0.3751
9 Cd 0.0000 0.0100 0.2473
10 Cd 0.5000 0.7553 0.1249
11 Hg 0.5000 0.7712 0.3849
12 Hg 0.5000 0.7288 0.8849
13 Hg 0.5000 0.2288 0.6151
14 Hg 0.5000 0.2712 0.1151
15 Li 0.0000 0.5000 0.0000
16 Li 0.0000 0.0000 0.5000

Record 7
The following is a PBE-GGA calculation of a geometry-optimized HfNi7Sn2P2 structure, from the Alexandria database.

Values from the calculation:
- Electronic total energy: -6.085 eV/atom
- DOS at the Fermi energy: 0.4144 states/eV/atom
- Formation energy: -30.4 kJ/mol of atoms
- Crystal system: monoclinic

Cell: 3.6966 3.6966 13.2178 Å, 86.88 86.88 90.52°
Sites, in units of the cell vectors:
1 Ni 0.3874 0.3874 0.4083
2 Ni 0.5295 0.0327 0.8550
3 Ni 0.5000 0.5000 0.0000
4 Ni 0.4705 0.9673 0.1450
5 Ni 0.9673 0.4705 0.1450
6 Ni 0.0327 0.5295 0.8550
7 Ni 0.6126 0.6126 0.5917
8 Hf 0.0000 0.0000 0.0000
9 Sn 0.8749 0.8749 0.3996
10 Sn 0.1251 0.1251 0.6004
11 P 0.4465 0.4465 0.2413
12 P 0.5535 0.5535 0.7587

Record 8
The following is a PBE-GGA calculation of a geometry-optimized Hg2Bi3Pb structure, from the Alexandria database.

Values from the calculation:
- Electronic total energy: -2.608 eV/atom
- DOS at the Fermi energy: 0.3128 states/eV/atom
- Formation energy: 5.0 kJ/mol of atoms
- Crystal system: monoclinic

Cell: 6.0787 6.0787 10.9579 Å, 106.73 106.73 89.85°
Sites, in units of the cell vectors:
1 Bi 0.6244 0.3756 0.2500
2 Bi 0.1960 0.4477 0.3892
3 Bi 0.3756 0.6244 0.7500
4 Bi 0.8040 0.5523 0.6108
5 Bi 0.5523 0.8040 0.1108
6 Bi 0.4477 0.1960 0.8892
7 Hg 0.9647 0.7163 0.9306
8 Hg 0.7163 0.9647 0.4306
9 Hg 0.0353 0.2837 0.0694
10 Hg 0.2837 0.0353 0.5694
11 Pb 0.1255 0.8745 0.2500
12 Pb 0.8745 0.1255 0.7500

Record 9
The following is a PBE-GGA calculation of a geometry-optimized BaNdMgCd structure, from the Alexandria database.

Values from the calculation:
- Electronic total energy: -2.405 eV/atom
- DOS at the Fermi energy: 0.7257 states/eV/atom
- Formation energy: -10.2 kJ/mol of atoms
- Crystal system: cubic

Cell: 5.7576 5.7576 5.7576 Å, 60.00 60.00 60.00°
Sites, in units of the cell vectors:
1 Nd 0.5000 0.5000 0.5000
2 Cd 0.2500 0.2500 0.2500
3 Ba 0.0000 0.0000 0.0000
4 Mg 0.7500 0.7500 0.7500

Record 10
The following is a PBE-GGA calculation of a geometry-optimized LiDy2Ge3 structure, from the Alexandria database.

Values from the calculation:
- Electronic total energy: -4.815 eV/atom
- DOS at the Fermi energy: 0.3228 states/eV/atom
- Formation energy: -63.0 kJ/mol of atoms
- Crystal system: orthorhombic

Cell: 5.7897 5.7897 8.2587 Å, 109.29 109.29 93.29°
Sites, in units of the cell vectors:
1 Dy 0.2500 0.7500 0.5000
2 Dy 0.7617 0.7617 0.0000
3 Dy 0.2383 0.2383 0.0000
4 Dy 0.7500 0.2500 0.5000
5 Ge 0.1700 0.1700 0.3400
6 Ge 0.3479 0.8230 0.1710
7 Ge 0.6521 0.1770 0.8290
8 Ge 0.8230 0.3479 0.1710
9 Ge 0.8300 0.8300 0.6600
10 Ge 0.1770 0.6521 0.8290
11 Li 0.6669 0.6669 0.3337
12 Li 0.3331 0.3331 0.6663

Record 11
The following is a PBE-GGA calculation of a geometry-optimized Li4Sn2Hg structure, from the Alexandria database.

Values from the calculation:
- Electronic total energy: -2.364 eV/atom
- DOS at the Fermi energy: 0.5239 states/eV/atom
- Formation energy: -8.0 kJ/mol of atoms
- Energy above the lowest structure with this stoichiometry: 106 meV/atom
- Crystal system: orthorhombic

Cell: 5.2586 4.6622 7.5657 Å, 107.95 90.00 90.00°
Sites, in units of the cell vectors:
1 Sn 0.5000 0.1889 0.3778
2 Sn 0.5000 0.8111 0.6222
3 Li 0.0000 0.8776 0.7551
4 Li 0.0000 0.1224 0.2449
5 Li 0.5000 0.5959 0.1919
6 Li 0.5000 0.4041 0.8081
7 Hg 0.0000 0.5000 0.0000

Record 12
The following is a PBE-GGA calculation of a geometry-optimized K3TeH structure, from the Alexandria database.

Values from the calculation:
- Electronic total energy: -2.347 eV/atom
- DOS at the Fermi energy: 0.0000 states/eV/atom
- Energy above the lowest structure with this stoichiometry: 317 meV/atom
- Crystal system: orthorhombic

Cell: 10.1657 10.1657 6.4806 Å, 90.00 90.00 139.31°
Sites, in units of the cell vectors:
1 K 0.0000 0.0000 0.5000
2 K 0.0746 0.4374 0.2500
3 K 0.9254 0.5626 0.7500
4 K 0.5626 0.9254 0.2500
5 K 0.0000 0.0000 0.0000
6 K 0.4374 0.0746 0.7500
7 H 0.4157 0.5843 0.2500
8 H 0.5843 0.4157 0.7500
9 Te 0.1593 0.8407 0.2500
10 Te 0.8407 0.1593 0.7500

Record 13
The following is a PBE-GGA calculation of a geometry-optimized ErCo5C2 structure, from the Alexandria database.

Values from the calculation:
- Electronic total energy: -7.328 eV/atom
- DOS at the Fermi energy: 1.1313 states/eV/atom
- Formation energy: -1.0 kJ/mol of atoms
- Crystal system: orthorhombic

Cell: 3.5083 5.2998 5.2998 Å, 68.70 70.67 70.67°
Sites, in units of the cell vectors:
1 Co 0.6583 0.5389 0.1446
2 Co 0.3417 0.8554 0.4611
3 Co 0.6583 0.1446 0.5389
4 Co 0.0000 0.5000 0.5000
5 Co 0.3417 0.4611 0.8554
6 C 0.2416 0.2584 0.2584
7 C 0.7584 0.7416 0.7416
8 Er 0.0000 0.0000 0.0000

Record 14
The following is a PBE-GGA calculation of a geometry-optimized Ac7In2Co2 structure, from the Alexandria database.

Values from the calculation:
- Electronic total energy: -4.518 eV/atom
- DOS at the Fermi energy: 0.9554 states/eV/atom
- Formation energy: -11.0 kJ/mol of atoms
- Energy above the lowest structure with this stoichiometry: 0 meV/atom
- Crystal system: orthorhombic

Cell: 3.9626 10.4249 10.4249 Å, 64.81 79.04 79.04°
Sites, in units of the cell vectors:
1 In 0.5000 0.3575 0.6425
2 In 0.0000 0.7752 0.2248
3 Ac 0.1504 0.0912 0.6081
4 Ac 0.8496 0.3919 0.9088
5 Ac 0.3682 0.7331 0.5305
6 Ac 0.1859 0.7221 0.9061
7 Ac 0.6318 0.4695 0.2669
8 Ac 0.8141 0.0939 0.2779
9 Ac 0.5000 0.0302 0.9698
10 Co 0.2676 0.3270 0.1378
11 Co 0.7324 0.8622 0.6730

Record 15
The following is a PBE-GGA calculation of a geometry-optimized AgTe2Se3 structure, from the Alexandria database.

Values from the calculation:
- Electronic total energy: -3.225 eV/atom
- Formation energy without anion corrections: 0.039 eV per atom
- DOS at the Fermi energy: 0.7588 states/eV/atom
- Energy above the lowest structure with this stoichiometry: 50 meV/atom
- Crystal system: orthorhombic

Cell: 4.1152 5.8562 7.2353 Å, 113.87 106.52 90.00°
Sites, in units of the cell vectors:
1 Se 0.3518 0.3518 0.7035
2 Se 0.0000 0.0000 0.0000
3 Se 0.6482 0.6482 0.2965
4 Ag 0.0000 0.5000 0.0000
5 Te 0.3374 0.8374 0.6747
6 Te 0.6626 0.1626 0.3253

Record 16
The following is a PBE-GGA calculation of a geometry-optimized CoNiAs4 structure, from the Alexandria database.

Values from the calculation:
- Electronic total energy: -5.532 eV/atom
- DOS at the Fermi energy: 0.2836 states/eV/atom
- Formation energy: -27.4 kJ/mol of atoms
- Energy above the lowest structure with this stoichiometry: 0 meV/atom
- Crystal system: monoclinic

Cell: 3.3857 4.9184 5.8508 Å, 89.96 90.00 90.00°
Sites, in units of the cell vectors:
1 As 0.0000 0.2007 0.3698
2 As 0.0000 0.7993 0.6302
3 As 0.5000 0.3058 0.8628
4 As 0.5000 0.6942 0.1372
5 Ni 0.0000 0.0000 0.0000
6 Co 0.5000 0.5000 0.5000

Record 17
The following is a PBE-GGA calculation of a geometry-optimized Cs2BeTlTe structure, from the Alexandria database.

Values from the calculation:
- Electronic total energy: -2.055 eV/atom
- Formation energy without anion corrections: 0.133 eV per atom
- DOS at the Fermi energy: 1.0333 states/eV/atom
- Crystal system: tetragonal

Cell: 7.4869 4.6279 7.4869 Å, 90.00 90.00 90.00°
Sites, in units of the cell vectors:
1 Be 0.0000 0.5000 0.0000
2 Cs 0.0000 0.0000 0.5000
3 Cs 0.5000 0.0000 0.0000
4 Tl 0.5000 0.5000 0.5000
5 Te 0.0000 0.0000 0.0000

Record 18
The following is a PBE-GGA calculation of a geometry-optimized TbErGeRh structure, from the Alexandria database.

Values from the calculation:
- Electronic total energy: -6.161 eV/atom
- DOS at the Fermi energy: 0.6912 states/eV/atom
- Formation energy: -84.0 kJ/mol of atoms
- Energy above the lowest structure with this stoichiometry: 0 meV/atom
- Crystal system: orthorhombic

Cell: 4.0305 4.1281 5.6794 Å, 90.00 110.78 90.00°
Sites, in units of the cell vectors:
1 Ge 0.5772 0.5000 0.1544
2 Tb 0.8614 0.5000 0.7228
3 Rh 0.4204 0.0000 0.8408
4 Er 0.1410 0.0000 0.2820

Record 19
The following is a PBE-GGA calculation of a geometry-optimized MnCuW2 structure, from the Alexandria database.

Values from the calculation:
- Electronic total energy: -9.557 eV/atom
- DOS at the Fermi energy: 0.7591 states/eV/atom
- Formation energy: 22.8 kJ/mol of atoms
- Energy above the lowest structure with this stoichiometry: 0 meV/atom
- Crystal system: orthorhombic

Cell: 2.6794 2.6794 8.3764 Å, 90.00 90.00 106.13°
Sites, in units of the cell vectors:
1 Cu 0.0000 0.0000 0.5098
2 W 0.0000 0.0000 0.9881
3 W 0.5000 0.5000 0.2586
4 Mn 0.5000 0.5000 0.7435

Record 20
The following is a PBE-GGA calculation of a geometry-optimized BaCrNi structure, from the Alexandria database.

Values from the calculation:
- Electronic total energy: -5.379 eV/atom
- DOS at the Fermi energy: 1.0962 states/eV/atom
- Formation energy: 38.3 kJ/mol of atoms
- Energy above the lowest structure with this stoichiometry: 132 meV/atom
- Crystal system: triclinic

Cell: 4.4066 4.2290 10.4325 Å, 83.19 115.17 103.92°
Sites, in units of the cell vectors:
1 Ba 0.9884 0.1640 0.1665
2 Ba 0.0551 0.6814 0.7466
3 Cr 0.8313 0.1188 0.4585
4 Cr 0.6084 0.6992 0.3784
5 Ni 0.4555 0.2254 0.5395
6 Ni 0.1894 0.6842 0.4572